A relaxed structure of Cs2Sr4Pt. Source: Alexandria via LeMat-Bulk, functional PBE.

DFT formation energy (meV/atom): -203.0
Electronic total energy (eV for the cell shown): -15.9

a = 6.0927 Å, b = 6.0927 Å, c = 13.0772 Å
α = 76.53°, β = 76.53°, γ = 90.00°
With the nearest neighbours (Å) after each atom.
Fractional coordinates of all 7 atoms:
Cs  0.6828  0.6828  0.6344  5 Sr 4.60-4.92
Sr  0.0000  0.5000  0.0000  2 Pt 3.05
Sr  0.8821  0.8821  0.2358  1 Pt 2.91
Pt  0.0000  0.0000  0.0000  6 Sr 2.91-3.05
Sr  0.5000  0.0000  0.0000  2 Pt 3.05
Cs  0.3172  0.3172  0.3656  5 Sr 4.60-4.92
Sr  0.1179  0.1179  0.7642  1 Pt 2.91

A relaxed structure of CsSr3Pt. Source: Alexandria via LeMat-Bulk, functional PBE.

Excess energy over the best structure of this formula in the dataset (meV/atom): 0
DFT formation energy (meV/atom): -337.8
Electronic total energy (eV for the cell shown): -13.6

a = 6.1930 Å, b = 6.1930 Å, c = 6.1930 Å
α = 90.00°, β = 90.00°, γ = 90.00°
With the nearest neighbours (Å) after each atom.
Fractional coordinates of all 5 atoms:
Sr  0.0000  0.5000  0.0000  2 Pt 3.10
Pt  0.0000  0.0000  0.0000  6 Sr 3.10
Sr  0.5000  0.0000  0.0000  2 Pt 3.10
Cs  0.5000  0.5000  0.5000  12 Sr 4.38
Sr  0.0000  0.0000  0.5000  2 Pt 3.10

A relaxed structure of CsSrPt3. Source: Alexandria via LeMat-Bulk, functional PBE.

Excess energy over the best structure of this formula in the dataset (meV/atom): 0
DFT formation energy (meV/atom): 877.1
Electronic total energy (eV for the cell shown): -16.3

a = 5.5629 Å, b = 5.5629 Å, c = 5.5629 Å
α = 90.00°, β = 90.00°, γ = 90.00°
With the nearest neighbours (Å) after each atom.
Fractional coordinates of all 5 atoms:
Pt  0.5000  0.0000  0.0000  2 Sr 2.78
Sr  0.0000  0.0000  0.0000  6 Pt 2.78
Cs  0.5000  0.5000  0.5000  12 Pt 3.93
Pt  0.0000  0.5000  0.0000  2 Sr 2.78
Pt  0.0000  0.0000  0.5000  2 Sr 2.78

A relaxed structure of Cs2SrPt. Source: Alexandria via LeMat-Bulk, functional PBE.

Excess energy over the best structure of this formula in the dataset (meV/atom): 0
DFT formation energy (meV/atom): -35.8
Electronic total energy (eV for the cell shown): -19.1

a = 12.8899 Å, b = 12.8899 Å, c = 9.5786 Å
α = 47.71°, β = 47.71°, γ = 90.00°
With the nearest neighbours (Å) after each atom.
Fractional coordinates of all 8 atoms:
Cs  0.3750  0.2272  0.7500  2 Pt 3.56
Pt  0.7500  0.2500  0.5000  2 Sr 2.95
Sr  0.2500  0.7500  0.5000  2 Pt 2.95
Cs  0.8750  0.0228  0.7500  2 Pt 3.56
Cs  0.7728  0.1250  0.2500  2 Pt 3.56
Sr  0.5000  0.5000  0.0000  2 Pt 2.95
Pt  0.0000  0.0000  0.0000  2 Sr 2.95
Cs  0.9772  0.6250  0.2500  2 Pt 3.56

A relaxed structure of Cs2SrPt. Source: Alexandria via LeMat-Bulk, functional PBE.

Excess energy over the best structure of this formula in the dataset (meV/atom): 428
DFT formation energy (meV/atom): 391.9
Electronic total energy (eV for the cell shown): -7.9

a = 6.2856 Å, b = 6.2856 Å, c = 6.2856 Å
α = 60.00°, β = 60.00°, γ = 60.00°
With the nearest neighbours (Å) after each atom.
Fractional coordinates of all 4 atoms:
Cs  0.7500  0.7500  0.7500  4 Sr 3.85, 4 Pt 3.85
Pt  0.5000  0.5000  0.5000  8 Cs 3.85
Cs  0.2500  0.2500  0.2500  4 Pt 3.85, 4 Sr 3.85
Sr  0.0000  0.0000  0.0000  8 Cs 3.85

A relaxed structure of CsSr2TlPt. Source: Alexandria via LeMat-Bulk, functional PBE.

DFT formation energy (meV/atom): -275.4
Electronic total energy (eV for the cell shown): -14.0

a = 6.0628 Å, b = 6.0628 Å, c = 5.4848 Å
α = 90.00°, β = 90.00°, γ = 90.00°
With the nearest neighbours (Å) after each atom.
Fractional coordinates of all 5 atoms:
Tl  0.0000  0.0000  0.5000  2 Pt 2.74
Cs  0.5000  0.5000  0.5000  8 Sr 4.09, 4 Tl 4.29
Sr  0.0000  0.5000  0.0000  2 Pt 3.03
Pt  0.0000  0.0000  0.0000  2 Tl 2.74, 4 Sr 3.03
Sr  0.5000  0.0000  0.0000  2 Pt 3.03

A relaxed structure of CsSrZn2Pt. Source: Alexandria via LeMat-Bulk, functional PBE.

DFT formation energy (meV/atom): -201.8
Electronic total energy (eV for the cell shown): -12.1

a = 5.1792 Å, b = 5.1792 Å, c = 5.6743 Å
α = 90.00°, β = 90.00°, γ = 90.00°
With the nearest neighbours (Å) after each atom.
Fractional coordinates of all 5 atoms:
Zn  0.0000  0.5000  0.0000  2 Pt 2.59
Pt  0.0000  0.0000  0.0000  4 Zn 2.59, 2 Sr 2.84
Cs  0.5000  0.5000  0.5000  4 Sr 3.66, 8 Zn 3.84
Sr  0.0000  0.0000  0.5000  2 Pt 2.84
Zn  0.5000  0.0000  0.0000  2 Pt 2.59

A relaxed structure of CsTa2Pt2. Source: Alexandria via LeMat-Bulk, functional PBE.

Excess energy over the best structure of this formula in the dataset (meV/atom): 166
DFT formation energy (meV/atom): 259.0
Electronic total energy (eV for the cell shown): -70.7

a = 8.5775 Å, b = 8.5775 Å, c = 2.9013 Å
α = 90.00°, β = 90.00°, γ = 90.00°
With the nearest neighbours (Å) after each atom.
Fractional coordinates of all 10 atoms:
Pt  0.3328  0.8328  0.0000  6 Ta 2.84-3.04, 2 Pt 2.90
Ta  0.1128  0.6128  0.5000  3 Ta 2.74-2.90, 6 Pt 2.84-3.04
Ta  0.8872  0.3872  0.5000  3 Ta 2.74-2.90, 6 Pt 2.84-3.04
Ta  0.3872  0.1128  0.5000  3 Ta 2.74-2.90, 6 Pt 2.84-3.04
Pt  0.8328  0.6672  0.0000  6 Ta 2.84-3.04, 2 Pt 2.90
Pt  0.6672  0.1672  0.0000  6 Ta 2.84-3.04, 2 Pt 2.90
Ta  0.6128  0.8872  0.5000  3 Ta 2.74-2.90, 6 Pt 2.84-3.04
Cs  0.5000  0.5000  0.0000  2 Cs 2.90, 4 Pt 3.19
Cs  0.0000  0.0000  0.0000  2 Cs 2.90, 4 Pt 3.19
Pt  0.1672  0.3328  0.0000  6 Ta 2.84-3.04, 2 Pt 2.90